Entry from Alexandria: a relaxed structure of Sm2Y3Tm6Sc (PBE-GGA).

a b c (Å): 6.0794 6.0794 11.6570
angles (deg): 94.98 94.98 119.97
Sites, in units of the cell vectors:
Sm (0.1665, 0.8335, 0.0000)
Sm (0.8335, 0.1665, 0.0000)
Y (0.0000, 0.0000, 0.5000)
Y (0.3336, 0.6664, 0.5000)
Y (0.6664, 0.3336, 0.5000)
Tm (0.0869, 0.4175, 0.7519)
Tm (0.2518, 0.2518, 0.2485)
Tm (0.4175, 0.0869, 0.7519)
Tm (0.5825, 0.9131, 0.2481)
Tm (0.7482, 0.7482, 0.7515)
Tm (0.9131, 0.5825, 0.2481)
Sc (0.5000, 0.5000, 0.0000)

Computed properties:
Crystal system   monoclinic
Final energy   -5.133 eV per atom
N(E_F)   1.423 states/eV/atom
E_form   33.2 meV/atom

***

Entry from Alexandria: a relaxed structure of Sm2YTmSc (PBE-GGA).

a b c (Å): 6.9747 6.9747 7.1243
angles (deg): 90.00 90.00 108.49
Sites, in units of the cell vectors:
Sm (0.1992, 0.1992, 0.0000)
Sm (0.1992, 0.1992, 0.5000)
Sm (0.8008, 0.8008, 0.0000)
Sm (0.8008, 0.8008, 0.5000)
Y (0.2426, 0.7574, 0.7500)
Y (0.7574, 0.2426, 0.2500)
Tm (0.2220, 0.7780, 0.2500)
Tm (0.7780, 0.2220, 0.7500)
Sc (0.4850, 0.5150, 0.2500)
Sc (0.5150, 0.4850, 0.7500)

Computed properties:
Crystal system   orthorhombic
Final energy   -4.973 eV per atom
N(E_F)   1.461 states/eV/atom
E_form   367.9 meV/atom

***

Entry from Alexandria: a relaxed structure of SmY2Tm6Sc3 (PBE-GGA).

a b c (Å): 6.0030 6.0030 11.4238
angles (deg): 95.02 95.02 119.97
Sites, in units of the cell vectors:
Sm (0.0000, 0.0000, 0.0000)
Y (0.3334, 0.6666, 0.0000)
Y (0.6666, 0.3334, 0.0000)
Tm (0.0874, 0.4204, 0.2604)
Tm (0.2457, 0.2457, 0.7396)
Tm (0.4204, 0.0874, 0.2604)
Tm (0.5796, 0.9126, 0.7396)
Tm (0.7543, 0.7543, 0.2604)
Tm (0.9126, 0.5796, 0.7396)
Sc (0.1669, 0.8331, 0.5000)
Sc (0.5000, 0.5000, 0.5000)
Sc (0.8331, 0.1669, 0.5000)

Computed properties:
Crystal system   monoclinic
Final energy   -5.242 eV per atom
N(E_F)   1.555 states/eV/atom
E_form   47.7 meV/atom

***

Entry from Alexandria: a relaxed structure of Sm3Y2Tm6Sc (PBE-GGA).

a b c (Å): 6.0991 6.0991 11.6358
angles (deg): 95.01 95.01 119.96
Sites, in units of the cell vectors:
Sm (0.0000, 0.0000, 0.0000)
Sm (0.3334, 0.6666, 0.0000)
Sm (0.6666, 0.3334, 0.0000)
Y (0.1665, 0.8335, 0.5000)
Y (0.8335, 0.1665, 0.5000)
Tm (0.0883, 0.4187, 0.2539)
Tm (0.2510, 0.2510, 0.7463)
Tm (0.4187, 0.0883, 0.2539)
Tm (0.5813, 0.9117, 0.7461)
Tm (0.7490, 0.7490, 0.2537)
Tm (0.9117, 0.5813, 0.7461)
Sc (0.5000, 0.5000, 0.5000)

Computed properties:
Crystal system   monoclinic
Final energy   -4.988 eV per atom
N(E_F)   1.457 states/eV/atom
E_form   33.0 meV/atom

***

Entry from Alexandria: a relaxed structure of SmY2Tm4Sc (PBE-GGA).

a b c (Å): 4.9426 4.9426 9.9219
angles (deg): 90.00 90.00 90.00
Sites, in units of the cell vectors:
Sm (0.0000, 0.0000, 0.0000)
Y (0.0000, 0.0000, 0.5000)
Y (0.5000, 0.5000, 0.0000)
Tm (0.0000, 0.5000, 0.2558)
Tm (0.0000, 0.5000, 0.7442)
Tm (0.5000, 0.0000, 0.2558)
Tm (0.5000, 0.0000, 0.7442)
Sc (0.5000, 0.5000, 0.5000)

Computed properties:
Crystal system   tetragonal
Final energy   -5.193 eV per atom
N(E_F)   1.570 states/eV/atom
E_form   40.5 meV/atom

***

Entry from Alexandria: a relaxed structure of Sm3Y6TmSc2 (PBE-GGA).

a b c (Å): 6.1251 6.1251 11.6545
angles (deg): 95.02 95.02 119.98
Sites, in units of the cell vectors:
Sm (0.0000, 0.0000, 0.0000)
Sm (0.3332, 0.6668, 0.0000)
Sm (0.6668, 0.3332, 0.0000)
Y (0.0834, 0.4190, 0.2581)
Y (0.2453, 0.2453, 0.7419)
Y (0.4190, 0.0834, 0.2581)
Y (0.5810, 0.9166, 0.7419)
Y (0.7547, 0.7547, 0.2581)
Y (0.9166, 0.5810, 0.7419)
Tm (0.5000, 0.5000, 0.5000)
Sc (0.1667, 0.8333, 0.5000)
Sc (0.8333, 0.1667, 0.5000)

Computed properties:
Crystal system   monoclinic
Final energy   -5.796 eV per atom
N(E_F)   1.559 states/eV/atom
E_form   43.3 meV/atom

***

Entry from Alexandria: a relaxed structure of SmY3TmSc (PBE-GGA).

a b c (Å): 7.8638 7.8638 9.9788
angles (deg): 90.00 90.00 143.27
Sites, in units of the cell vectors:
Sm (0.0030, 0.9970, 0.7500)
Sm (0.9970, 0.0030, 0.2500)
Y (0.1664, 0.8336, 0.5011)
Y (0.1664, 0.8336, 0.9989)
Y (0.3312, 0.6688, 0.7500)
Y (0.6688, 0.3312, 0.2500)
Y (0.8336, 0.1664, 0.0011)
Y (0.8336, 0.1664, 0.4989)
Tm (0.5000, 0.5000, 0.0000)
Tm (0.5000, 0.5000, 0.5000)
Sc (0.3331, 0.6669, 0.2500)
Sc (0.6669, 0.3331, 0.7500)

Computed properties:
Crystal system   orthorhombic
Final energy   -5.777 eV per atom
N(E_F)   1.525 states/eV/atom
E_form   42.1 meV/atom

***

Entry from Alexandria: a relaxed structure of SmY2TmSc2 (PBE-GGA).

a b c (Å): 6.2952 17.3566 3.3445
angles (deg): 90.00 90.00 90.00
Sites, in units of the cell vectors:
Sm (0.0000, 0.0000, 0.0000)
Sm (0.5000, 0.5000, 0.5000)
Y (0.2276, 0.3098, 0.0000)
Y (0.2724, 0.8098, 0.5000)
Y (0.7276, 0.1902, 0.5000)
Y (0.7724, 0.6902, 0.0000)
Tm (0.0000, 0.5000, 0.0000)
Tm (0.5000, 0.0000, 0.5000)
Sc (0.2268, 0.1451, 0.5000)
Sc (0.2732, 0.6451, 0.0000)
Sc (0.7268, 0.3549, 0.0000)
Sc (0.7732, 0.8549, 0.5000)

Computed properties:
Crystal system   orthorhombic
Final energy   -5.525 eV per atom
N(E_F)   1.710 states/eV/atom
E_form   271.8 meV/atom

***

Entry from Alexandria: a relaxed structure of Sm6YTm2Sc (PBE-GGA).

a b c (Å): 8.8487 8.8487 9.3593
angles (deg): 93.23 93.23 117.73
Sites, in units of the cell vectors:
Sm (0.0028, 0.4401, 0.8064)
Sm (0.1252, 0.7653, 0.5516)
Sm (0.2347, 0.8748, 0.9484)
Sm (0.2887, 0.5092, 0.3863)
Sm (0.4401, 0.0028, 0.3064)
Sm (0.4908, 0.7113, 0.1137)
Sm (0.5092, 0.2887, 0.8863)
Sm (0.5599, 0.9972, 0.6936)
Sm (0.7113, 0.4908, 0.6137)
Sm (0.7653, 0.1252, 0.0516)
Sm (0.8748, 0.2347, 0.4484)
Sm (0.9972, 0.5599, 0.1936)
Y (0.0251, 0.9749, 0.2500)
Y (0.9749, 0.0251, 0.7500)
Tm (0.2048, 0.3080, 0.0475)
Tm (0.3080, 0.2048, 0.5475)
Tm (0.6920, 0.7952, 0.4525)
Tm (0.7952, 0.6920, 0.9525)
Sc (0.4194, 0.5806, 0.7500)
Sc (0.5806, 0.4194, 0.2500)

Computed properties:
Crystal system   monoclinic
Final energy   -4.878 eV per atom
N(E_F)   1.408 states/eV/atom
E_form   126.9 meV/atom

***

Entry from Alexandria: a relaxed structure of SmY6Tm3Sc2 (PBE-GGA).

a b c (Å): 6.0689 6.0689 11.6181
angles (deg): 94.98 94.98 119.95
Sites, in units of the cell vectors:
Sm (0.0000, 0.0000, 0.0000)
Y (0.0831, 0.4188, 0.2472)
Y (0.2528, 0.2528, 0.7528)
Y (0.4188, 0.0831, 0.2472)
Y (0.5812, 0.9169, 0.7528)
Y (0.7472, 0.7472, 0.2472)
Y (0.9169, 0.5812, 0.7528)
Tm (0.1671, 0.8329, 0.5000)
Tm (0.5000, 0.5000, 0.5000)
Tm (0.8329, 0.1671, 0.5000)
Sc (0.3334, 0.6666, 0.0000)
Sc (0.6666, 0.3334, 0.0000)

Computed properties:
Crystal system   monoclinic
Final energy   -5.753 eV per atom
N(E_F)   1.539 states/eV/atom
E_form   45.5 meV/atom

***

Entry from Alexandria: a relaxed structure of Sm2Y5TmSc (PBE-GGA).

a b c (Å): 10.0511 10.0511 10.0511
angles (deg): 130.74 130.74 72.22
Sites, in units of the cell vectors:
Sm (0.1196, 0.6196, 0.7391)
Sm (0.3804, 0.1196, 0.5000)
Sm (0.6196, 0.8804, 0.5000)
Sm (0.8804, 0.3804, 0.2609)
Y (0.0000, 0.0000, 0.0000)
Y (0.0730, 0.1390, 0.5000)
Y (0.1390, 0.6390, 0.0660)
Y (0.3610, 0.4270, 0.5000)
Y (0.4270, 0.9270, 0.0660)
Y (0.5000, 0.5000, 0.0000)
Y (0.5730, 0.0730, 0.9340)
Y (0.6390, 0.5730, 0.5000)
Y (0.8610, 0.3610, 0.9340)
Y (0.9270, 0.8610, 0.5000)
Tm (0.2500, 0.7500, 0.5000)
Tm (0.7500, 0.2500, 0.5000)
Sc (0.2500, 0.2500, 0.0000)
Sc (0.7500, 0.7500, 0.0000)

Computed properties:
Crystal system   tetragonal
Final energy   -5.545 eV per atom
N(E_F)   1.441 states/eV/atom
E_form   294.8 meV/atom

***

Entry from Alexandria: a relaxed structure of Sm2YTm6Sc (PBE-GGA).

a b c (Å): 8.6175 8.6175 9.4344
angles (deg): 94.27 94.27 117.76
Sites, in units of the cell vectors:
Sm (0.1958, 0.3013, 0.4541)
Sm (0.3013, 0.1958, 0.9541)
Sm (0.6987, 0.8042, 0.0459)
Sm (0.8042, 0.6987, 0.5459)
Y (0.4812, 0.5188, 0.7500)
Y (0.5188, 0.4812, 0.2500)
Tm (0.0029, 0.7922, 0.8839)
Tm (0.0702, 0.5125, 0.6905)
Tm (0.2078, 0.9971, 0.6161)
Tm (0.2465, 0.6293, 0.0576)
Tm (0.3707, 0.7535, 0.4424)
Tm (0.4875, 0.9298, 0.8095)
Tm (0.5125, 0.0702, 0.1905)
Tm (0.6293, 0.2465, 0.5576)
Tm (0.7535, 0.3707, 0.9424)
Tm (0.7922, 0.0029, 0.3839)
Tm (0.9298, 0.4875, 0.3095)
Tm (0.9971, 0.2078, 0.1161)
Sc (0.0895, 0.9105, 0.2500)
Sc (0.9105, 0.0895, 0.7500)

Computed properties:
Crystal system   monoclinic
Final energy   -4.784 eV per atom
N(E_F)   1.224 states/eV/atom
E_form   122.4 meV/atom